1.
{
  "formula": "Ir8Os6Ru",
  "functional": "GGA-PBE",
  "state": "optimized geometry",
  "lattice_angstrom": [[9.9315, 0.0000, 0.0000], [-4.9657, 8.6009, 0.0000], [0.0000, 0.0000, 2.7372]],
  "species": ["Ir", "Ir", "Ir", "Ir", "Ir", "Ir", "Ir", "Ir", "Os", "Os", "Os", "Os", "Os", "Os", "Ru"],
  "frac_coords": [[0.0736, 0.7870, 0.2502], [0.2130, 0.2866, 0.2502], [0.2866, 0.0736, 0.7498], [0.3333, 0.6667, 0.7490], [0.6667, 0.3333, 0.2510], [0.7134, 0.9264, 0.2502], [0.7870, 0.7134, 0.7498], [0.9264, 0.2130, 0.7498], [0.0892, 0.4694, 0.2485], [0.3803, 0.9108, 0.2485], [0.4694, 0.3803, 0.7515], [0.5306, 0.6197, 0.2485], [0.6197, 0.0892, 0.7515], [0.9108, 0.5306, 0.7515], [0.0000, 0.0000, 0.5000]],
  "spacegroup": "No. 147",
  "total_magnetization_mub_per_fu": 1.65,
  "dos_ef_per_ev_fu": 15.31,
  "vol_a3_per_cell": 233.8
}

=====

2.
{
  "formula": "Ir6OsRu",
  "functional": "GGA-PBE",
  "state": "optimized geometry",
  "lattice_angstrom": [[3.6580, 2.1119, 3.0027], [-3.6580, 2.1119, 3.0027], [0.0000, -4.2239, 3.0027]],
  "species": ["Ir", "Ir", "Ir", "Ir", "Ir", "Ir", "Os", "Ru"],
  "frac_coords": [[0.1679, 0.1679, 0.5653], [0.1679, 0.5653, 0.1679], [0.4347, 0.8321, 0.8321], [0.5653, 0.1679, 0.1679], [0.8321, 0.4347, 0.8321], [0.8321, 0.8321, 0.4347], [0.5000, 0.5000, 0.5000], [0.0000, 0.0000, 0.0000]],
  "spacegroup": "No. 166",
  "total_magnetization_mub_per_fu": 0.00,
  "dos_ef_per_ev_fu": 14.00,
  "vol_a3_per_cell": 139.2
}

=====

3.
{
  "formula": "Ir8Os3Ru2",
  "functional": "GGA-PBE",
  "state": "optimized geometry",
  "lattice_angstrom": [[5.2546, -4.0952, 0.0000], [5.2546, 4.0952, 0.0000], [-1.0797, 0.0000, 4.7223]],
  "species": ["Ir", "Ir", "Ir", "Ir", "Ir", "Ir", "Ir", "Ir", "Os", "Os", "Os", "Ru", "Ru"],
  "frac_coords": [[0.0404, 0.0404, 0.2788], [0.1034, 0.6314, 0.9714], [0.3094, 0.3094, 0.2940], [0.3686, 0.8966, 0.0286], [0.6314, 0.1034, 0.9714], [0.6906, 0.6906, 0.7060], [0.8966, 0.3686, 0.0286], [0.9596, 0.9596, 0.7212], [0.2990, 0.7010, 0.5000], [0.5000, 0.5000, 0.0000], [0.7010, 0.2990, 0.5000], [0.2306, 0.2306, 0.7452], [0.7694, 0.7694, 0.2548]],
  "spacegroup": "No. 12",
  "total_magnetization_mub_per_fu": 0.00,
  "dos_ef_per_ev_fu": 13.13,
  "vol_a3_per_cell": 203.2
}

=====

4.
{
  "formula": "Ir4OsRu",
  "functional": "GGA-PBE",
  "state": "optimized geometry",
  "lattice_angstrom": [[0.0000, 3.5950, 3.5950], [3.5950, 0.0000, 3.5950], [3.5950, 3.5950, 0.0000]],
  "species": ["Ir", "Ir", "Ir", "Ir", "Os", "Ru"],
  "frac_coords": [[0.1250, 0.1250, 0.1250], [0.1250, 0.1250, 0.6249], [0.1250, 0.6249, 0.1250], [0.6249, 0.1250, 0.1250], [0.7500, 0.7500, 0.7500], [0.5000, 0.5000, 0.5000]],
  "spacegroup": "No. 216",
  "total_magnetization_mub_per_fu": 0.18,
  "dos_ef_per_ev_fu": 8.31,
  "vol_a3_per_cell": 92.9
}

=====

5.
{
  "formula": "Ir7Os2Ru2",
  "functional": "GGA-PBE",
  "state": "optimized geometry",
  "lattice_angstrom": [[3.5522, -3.6222, 0.0000], [3.5522, 3.6222, 0.0000], [-1.0742, 0.0000, 6.3729]],
  "species": ["Ir", "Ir", "Ir", "Ir", "Ir", "Ir", "Ir", "Os", "Os", "Ru", "Ru"],
  "frac_coords": [[0.0000, 0.0000, 0.0000], [0.0822, 0.4673, 0.8066], [0.1682, 0.1682, 0.4306], [0.4673, 0.0822, 0.8066], [0.5327, 0.9178, 0.1934], [0.8318, 0.8318, 0.5694], [0.9178, 0.5327, 0.1934], [0.3133, 0.6867, 0.5000], [0.6867, 0.3133, 0.5000], [0.4043, 0.4043, 0.1549], [0.5957, 0.5957, 0.8451]],
  "spacegroup": "No. 12",
  "total_magnetization_mub_per_fu": 0.00,
  "dos_ef_per_ev_fu": 12.19,
  "vol_a3_per_cell": 164.0
}

=====

6.
{
  "formula": "IrOs2Ru",
  "functional": "GGA-PBE",
  "state": "optimized geometry",
  "lattice_angstrom": [[3.3028, 0.0000, 0.0000], [0.0000, 3.3028, 0.0000], [0.0000, 0.0000, 5.4331]],
  "species": ["Ir", "Os", "Os", "Ru"],
  "frac_coords": [[0.0000, 0.0000, 0.0000], [0.5000, 0.5000, 0.2474], [0.5000, 0.5000, 0.7526], [0.0000, 0.0000, 0.5000]],
  "spacegroup": "No. 123",
  "total_magnetization_mub_per_fu": 1.69,
  "dos_ef_per_ev_fu": 5.47,
  "vol_a3_per_cell": 59.3
}

=====

7.
{
  "formula": "Ir12Os3Ru4",
  "functional": "GGA-PBE",
  "state": "optimized geometry",
  "lattice_angstrom": [[-4.6333, 4.6333, 4.6333], [4.6333, -4.6333, 4.6333], [4.6333, 4.6333, -4.6333]],
  "species": ["Ir", "Ir", "Ir", "Ir", "Ir", "Ir", "Ir", "Ir", "Ir", "Ir", "Ir", "Ir", "Os", "Os", "Os", "Ru", "Ru", "Ru", "Ru"],
  "frac_coords": [[0.0975, 0.3623, 0.7352], [0.2648, 0.6271, 0.3623], [0.2648, 0.9025, 0.6377], [0.3623, 0.2648, 0.6271], [0.3623, 0.7352, 0.0975], [0.3729, 0.6377, 0.7352], [0.6271, 0.3623, 0.2648], [0.6377, 0.2648, 0.9025], [0.6377, 0.7352, 0.3729], [0.7352, 0.0975, 0.3623], [0.7352, 0.3729, 0.6377], [0.9025, 0.6377, 0.2648], [0.0000, 0.5000, 0.5000], [0.5000, 0.0000, 0.5000], [0.5000, 0.5000, 0.0000], [0.0000, 0.0000, 0.5000], [0.0000, 0.5000, 0.0000], [0.5000, 0.0000, 0.0000], [0.5000, 0.5000, 0.5000]],
  "spacegroup": "No. 204",
  "total_magnetization_mub_per_fu": 0.00,
  "dos_ef_per_ev_fu": 23.72,
  "vol_a3_per_cell": 397.9
}

=====

8.
{
  "formula": "Ir4OsRu",
  "functional": "GGA-PBE",
  "state": "optimized geometry",
  "lattice_angstrom": [[1.3694, -7.1206, 0.0000], [1.3694, 7.1206, 0.0000], [0.0000, 0.0000, 8.8549]],
  "species": ["Ir", "Ir", "Ir", "Ir", "Ir", "Ir", "Ir", "Ir", "Os", "Os", "Ru", "Ru"],
  "frac_coords": [[0.0019, 0.9981, 0.5000], [0.1117, 0.8883, 0.2499], [0.3277, 0.6723, 0.4981], [0.4438, 0.5562, 0.2501], [0.5562, 0.4438, 0.7501], [0.6723, 0.3277, 0.9981], [0.8883, 0.1117, 0.7499], [0.9981, 0.0019, 0.0000], [0.3335, 0.6665, 0.9995], [0.6665, 0.3335, 0.4995], [0.2222, 0.7778, 0.7483], [0.7778, 0.2222, 0.2483]],
  "spacegroup": "No. 36",
  "total_magnetization_mub_per_fu": 0.00,
  "dos_ef_per_ev_fu": 4.64,
  "vol_a3_per_cell": 172.7
}

=====

9.
{
  "formula": "IrOs2Ru",
  "functional": "GGA-PBE",
  "state": "optimized geometry",
  "lattice_angstrom": [[-2.7475, 2.7475, 5.6367], [2.7475, -2.7475, 5.6367], [2.7475, 2.7475, -5.6367]],
  "species": ["Ir", "Ir", "Os", "Os", "Os", "Os", "Ru", "Ru"],
  "frac_coords": [[0.0000, 0.0000, 0.0000], [0.7500, 0.2500, 0.5000], [0.1272, 0.6250, 0.0022], [0.3750, 0.3772, 0.5022], [0.6228, 0.1250, 0.9978], [0.8750, 0.8728, 0.4978], [0.2500, 0.7500, 0.5000], [0.5000, 0.5000, 0.0000]],
  "spacegroup": "No. 122",
  "total_magnetization_mub_per_fu": 0.00,
  "dos_ef_per_ev_fu": 3.03,
  "vol_a3_per_cell": 170.2
}

=====

10.
{
  "formula": "Ir2OsRu3",
  "functional": "GGA-PBE",
  "state": "optimized geometry",
  "lattice_angstrom": [[5.7701, -1.9172, 0.0000], [5.7701, 1.9172, 0.0000], [-3.8577, 0.0000, 7.6965]],
  "species": ["Ir", "Ir", "Ir", "Ir", "Os", "Os", "Ru", "Ru", "Ru", "Ru", "Ru", "Ru"],
  "frac_coords": [[0.0393, 0.0393, 0.3738], [0.2903, 0.2903, 0.6261], [0.7097, 0.7097, 0.3739], [0.9607, 0.9607, 0.6262], [0.3741, 0.3741, 0.3706], [0.6259, 0.6259, 0.6294], [0.1247, 0.1247, 0.1231], [0.2077, 0.2077, 0.8737], [0.4571, 0.4571, 0.1237], [0.5429, 0.5429, 0.8763], [0.7923, 0.7923, 0.1263], [0.8753, 0.8753, 0.8769]],
  "spacegroup": "No. 12",
  "total_magnetization_mub_per_fu": 0.00,
  "dos_ef_per_ev_fu": 6.64,
  "vol_a3_per_cell": 170.3
}

=====

11.
{
  "formula": "IrOs2Ru",
  "functional": "GGA-PBE",
  "state": "optimized geometry",
  "lattice_angstrom": [[2.7196, 0.0000, 0.0000], [0.0000, 3.8569, 0.0000], [0.0000, 0.0000, 5.4384]],
  "species": ["Ir", "Os", "Os", "Ru"],
  "frac_coords": [[0.0000, 0.0000, 0.0000], [0.0000, 0.0000, 0.5001], [0.5000, 0.5000, 0.2535], [0.5000, 0.5000, 0.7479]],
  "spacegroup": "No. 25",
  "total_magnetization_mub_per_fu": 0.00,
  "dos_ef_per_ev_fu": 3.62,
  "vol_a3_per_cell": 57.0
}

=====

12.
{
  "formula": "Ir6Os3Ru",
  "functional": "GGA-PBE",
  "state": "optimized geometry",
  "lattice_angstrom": [[3.0722, 1.7737, 5.0538], [-3.0722, 1.7737, 5.0538], [0.0000, -3.5475, 5.0538]],
  "species": ["Ir", "Ir", "Ir", "Ir", "Ir", "Ir", "Os", "Os", "Os", "Ru"],
  "frac_coords": [[0.0404, 0.7243, 0.2353], [0.2353, 0.0404, 0.7243], [0.3189, 0.5179, 0.8269], [0.5179, 0.8269, 0.3189], [0.7243, 0.2353, 0.0404], [0.8269, 0.3189, 0.5179], [0.4083, 0.4083, 0.4083], [0.7003, 0.7003, 0.7003], [0.8524, 0.8524, 0.8524], [0.1476, 0.1476, 0.1476]],
  "spacegroup": "No. 146",
  "total_magnetization_mub_per_fu": 0.00,
  "dos_ef_per_ev_fu": 8.51,
  "vol_a3_per_cell": 165.2
}

=====

| no. | electronic total energy (eV/f.u.) |
| --- | --- |
| 1 | -141.19 |
| 2 | -65.80 |
| 3 | -117.67 |
| 4 | -51.57 |
| 5 | -100.58 |
| 6 | -38.26 |
| 7 | -159.91 |
| 8 | -55.95 |
| 9 | -35.83 |
| 10 | -56.55 |
| 11 | -40.38 |
| 12 | -90.00 |